# 1
Computed, not measured: Li2Tm2TiS6 after structural relaxation at the GGA-PBE level of DFT.

Crystal system: monoclinic

a = 6.5461 Å, b = 11.2206 Å, c = 6.4710 Å
α = 90.00°, β = 108.04°, γ = 90.00°
With the nearest neighbours (Å) after each atom.
Space group C2/m (No. 12)
One atom of each set of equivalent atoms:
Li (0.0000, 0.1575, 0.0000) x4  4 S 2.59-2.60
Tm (0.0000, 0.3334, 0.5000) x4  6 S 2.67-2.69
Ti (0.0000, 0.0000, 0.5000) x2  6 S 2.45-2.50
S (0.2276, 0.1563, 0.7370) x8  1 Ti 2.50, 1 Li 2.59, 2 Tm 2.67-2.69
S (0.2315, 0.0000, 0.2655) x4  1 Ti 2.45, 2 Li 2.60, 2 Tm 2.69

# 2
Computed, not measured: Li3Tm2TiS6 after structural relaxation at the GGA-PBE level of DFT.

N(E_F) (states/eV per atom): 0.46
Crystal system: monoclinic

a = 6.5003 Å, b = 11.2494 Å, c = 6.5044 Å
α = 90.00°, β = 109.41°, γ = 90.00°
With the nearest neighbours (Å) after each atom.
Space group C2/m (No. 12)
One atom of each set of equivalent atoms:
Li (0.0000, 0.0000, 0.0000) x2  6 S 2.62-2.78
Li (0.0000, 0.3370, 0.0000) x4  6 S 2.61-2.79
Tm (0.0000, 0.1676, 0.5000) x4  6 S 2.68
Ti (0.0000, 0.5000, 0.5000) x2  6 S 2.52-2.55
S (0.2346, 0.5000, 0.2590) x4  1 Ti 2.52, 3 Li 2.61-2.78, 2 Tm 2.68
S (0.2403, 0.3421, 0.7456) x8  1 Ti 2.55, 3 Li 2.62-2.79, 2 Tm 2.68

# 3
Computed, not measured: Li3Tm3TiS8 after structural relaxation at the GGA-PBE level of DFT.

Crystal system: trigonal

a = 7.5880 Å, b = 7.5880 Å, c = 18.4297 Å
α = 90.00°, β = 90.00°, γ = 120.00°
With the nearest neighbours (Å) after each atom.
Space group R-3m (No. 166, hexagonal axes)
One atom of each set of equivalent atoms:
Li (0.0000, 0.5000, 0.0000) x9  6 S 2.67
Tm (0.0000, 0.5000, 0.5000) x9  6 S 2.68-2.69
Ti (0.0000, 0.0000, 0.5000) x3  6 S 2.48
S (0.0000, 0.0000, 0.2502) x6  3 Li 2.67, 3 Tm 2.68
S (0.0251, 0.5126, 0.2448) x18  1 Ti 2.48, 2 Li 2.67, 2 Tm 2.69

| no. | formation energy (no corrections) (eV per atom) |
| --- | --- |
| 1 | -1.66 |
| 2 | -1.67 |
| 3 | -1.73 |